VASP calculation (GGA-PBE) on BeTlRh2 after structural relaxation.

Cell: 4.386 4.386 4.386 Å, 60.00 60.00 60.00°
Fractional coordinates of all 4 atoms:
1 Be 0.000 0.000 0.000
2 Tl 0.500 0.500 0.500
3 Rh 0.250 0.250 0.250
4 Rh 0.750 0.750 0.750

Summary:
Calculated density = 11.7 g/cm³
Space group = Fm-3m, No. 225
DFT formation energy = -1.4 kJ per mole of atoms
Magnetization = 0.0 μB/cell
Energy above the lowest structure with this stoichiometry = 122 meV per atom

=====

VASP calculation (GGA-PBE) on SrZrTl2Se4 after structural relaxation.

Cell: 7.439 4.161 8.010 Å, 90.00 106.91 90.00°
Fractional coordinates of all 8 atoms:
1 Sr 0.000 0.000 0.000
2 Zr 0.500 0.500 0.000
3 Tl 0.000 0.500 0.500
4 Tl 0.500 0.000 0.500
5 Se 0.273 0.500 0.210
6 Se 0.294 0.000 0.798
7 Se 0.706 0.000 0.202
8 Se 0.727 0.500 0.790

Summary:
Calculated density = 6.3 g/cm³
Space group = P2/m, No. 10
Magnetization = 0.0 μB/cell
Formation energy (no corrections) = -1.142 eV per atom

=====

VASP calculation (GGA-PBE) on SrHoZn2 after structural relaxation.

Cell: 3.727 3.727 7.401 Å, 90.00 90.00 90.00°
Fractional coordinates of all 4 atoms:
1 Sr 0.000 0.000 0.000
2 Ho 0.000 0.000 0.500
3 Zn 0.500 0.500 0.293
4 Zn 0.500 0.500 0.707

Summary:
Calculated density = 6.2 g/cm³
Space group = P4/mmm, No. 123
DFT formation energy = -24.6 kJ per mole of atoms
Magnetization = 0.0 μB/cell

=====

VASP calculation (GGA-PBE) on CeMg2InAg4 after structural relaxation.

Cell: 9.442 9.442 9.442 Å, 28.97 28.97 28.97°
Fractional coordinates of all 8 atoms:
1 Ce 0.000 0.000 0.000
2 Mg 0.244 0.244 0.244
3 Mg 0.756 0.756 0.756
4 In 0.500 0.500 0.500
5 Ag 0.124 0.124 0.124
6 Ag 0.394 0.394 0.394
7 Ag 0.606 0.606 0.606
8 Ag 0.876 0.876 0.876

Summary:
Calculated density = 7.0 g/cm³
Space group = R-3m, No. 166
DFT formation energy = -11.6 kJ per mole of atoms
Magnetization = 1.0 μB/cell